A geometry-optimized ZnReMo structure, computed with PBE.

Structure (POSCAR):
```
ZnReMo
1.0
-0.7497 4.7540 0.9700
-0.1139 1.9534 4.5028
2.6746 -2.9783 -2.8425
Mo Re Zn
1 1 1
Cartesian
-0.8573 6.6585 5.4329
-0.2931 2.2764 1.8574
-0.5768 4.4799 3.6553
```

Relative energy among the computed polymorphs = 1.4 kJ per mole of atoms
Magnetization = 0.0 μB per cell
Calculated formation energy = 0.110 eV/atom
SG = I4mm, No. 107